Computed, not measured: a geometry-optimized SmErPa2As4 structure at the PBE level of DFT.

**Formation energy**: -1273 meV per atom

Unit cell a=4.1164 b=7.1249 c=7.1306 alpha=70.52 beta=90.00 gamma=90.00
With the nearest neighbours (Å) after each atom.
Sites, in units of the cell vectors:
Sm 0.0000 0.5000 0.5000  6 As 2.94
Er 0.5000 0.5000 0.0000  6 As 2.91
Pa 0.0000 0.0000 0.0000  6 As 2.88
Pa 0.5000 0.0000 0.5000  6 As 2.91
As 0.0000 0.7528 0.7529  3 Pa 2.88-2.91, 2 Er 2.91, 1 Sm 2.94
As 0.0000 0.2472 0.2471  3 Pa 2.88-2.91, 2 Er 2.91, 1 Sm 2.94
As 0.5000 0.7557 0.2442  3 Pa 2.88-2.91, 1 Er 2.91, 2 Sm 2.94
As 0.5000 0.2443 0.7558  3 Pa 2.88-2.91, 1 Er 2.91, 2 Sm 2.94

---

Computed, not measured: a geometry-optimized PmPrGaSb structure at the PBE level of DFT.

**Raw formation energy**: -618 meV per atom

Unit cell a=5.3901 b=5.3901 c=5.3901 alpha=60.00 beta=60.00 gamma=60.00
With the nearest neighbours (Å) after each atom.
Sites, in units of the cell vectors:
Pr 0.5000 0.5000 0.5000  4 Sb 3.30, 4 Ga 3.30
Sb 0.7500 0.7500 0.7500  4 Pr 3.30, 4 Pm 3.30
Ga 0.2500 0.2500 0.2500  4 Pr 3.30, 4 Pm 3.30
Pm 0.0000 0.0000 0.0000  4 Sb 3.30, 4 Ga 3.30

---

Computed, not measured: a geometry-optimized Nd3Y2ErTe6 structure at the PBE level of DFT.

**Raw formation energy**: -1355 meV per atom

Unit cell a=4.3786 b=8.9490 c=9.9360 alpha=104.17 beta=102.73 gamma=90.00
With the nearest neighbours (Å) after each atom.
Sites, in units of the cell vectors:
Nd 0.5000 0.5000 0.0000  6 Te 3.17-3.20
Nd 0.8318 0.1668 0.6637  6 Te 3.17-3.20
Nd 0.1682 0.8332 0.3363  6 Te 3.17-3.20
Y 0.8323 0.6655 0.6645  6 Te 3.07-3.11
Y 0.1677 0.3345 0.3355  6 Te 3.07-3.11
Er 0.5000 0.0000 0.0000  6 Te 3.05-3.06
Te 0.3376 0.9115 0.6752  1 Er 3.05, 2 Y 3.09, 3 Nd 3.18-3.19
Te 0.6687 0.5766 0.3374  3 Y 3.07-3.08, 3 Nd 3.17
Te 0.6624 0.0885 0.3248  1 Er 3.05, 2 Y 3.09, 3 Nd 3.18-3.19
Te 0.0023 0.2407 0.0045  2 Er 3.06, 1 Y 3.11, 3 Nd 3.20
Te 0.9977 0.7593 0.9955  2 Er 3.06, 1 Y 3.11, 3 Nd 3.20
Te 0.3313 0.4234 0.6626  3 Y 3.07-3.08, 3 Nd 3.17

---

Computed, not measured: a geometry-optimized AlBrN2O structure at the PBE level of DFT.

**Raw formation energy**: 1713 meV per atom

Unit cell a=3.9847 b=3.9847 c=3.7992 alpha=90.00 beta=90.00 gamma=90.00
With the nearest neighbours (Å) after each atom.
Sites, in units of the cell vectors:
O 0.0000 0.0000 0.5000  2 Br 1.90
Al 0.5000 0.5000 0.5000  8 N 2.75, 4 O 2.82
Br 0.0000 0.0000 0.0000  2 O 1.90, 4 N 1.99
N 0.0000 0.5000 0.0000  2 Br 1.99
N 0.5000 0.0000 0.0000  2 Br 1.99

---

Computed, not measured: a geometry-optimized CsFeCl3 structure at the PBE level of DFT.

**Raw formation energy**: -1286 meV per atom

Unit cell a=7.7907 b=7.7907 c=5.7251 alpha=88.38 beta=88.38 gamma=74.75
With the nearest neighbours (Å) after each atom.
Sites, in units of the cell vectors:
Cs 0.8196 0.8196 0.2309  8 Cl 3.62-4.01
Cs 0.1804 0.1804 0.7691  8 Cl 3.62-4.01
Fe 0.6459 0.3541 0.5000  4 Cl 2.27-2.31
Fe 0.3541 0.6459 0.5000  4 Cl 2.27-2.31
Cl 0.6063 0.6063 0.7205  2 Fe 2.31
Cl 0.3273 0.8947 0.2741  1 Fe 2.27
Cl 0.8947 0.3273 0.2741  1 Fe 2.27
Cl 0.1053 0.6727 0.7259  1 Fe 2.27
Cl 0.6727 0.1053 0.7259  1 Fe 2.27
Cl 0.3937 0.3937 0.2795  2 Fe 2.31

---

Computed, not measured: a geometry-optimized Ba3Ca5La12 structure at the PBE level of DFT.

**Formation energy**: 903 meV per atom

Unit cell a=17.7198 b=17.7198 c=17.7198 alpha=109.47 beta=109.47 gamma=109.47
With the nearest neighbours (Å) after each atom.
Sites, in units of the cell vectors:
Ba 0.7500 0.3750 0.1250  8 La 3.40-3.79
Ba 0.8750 0.7500 0.1250  8 La 3.40-3.79
Ba 0.3750 0.7500 0.6250  8 La 3.40-3.79
Ba 0.2500 0.1250 0.3750  8 La 3.40-3.79
Ba 0.8750 0.1250 0.2500  8 La 3.40-3.79
Ba 0.3750 0.6250 0.2500  8 La 3.40-3.79
Ba 0.6250 0.3750 0.7500  8 La 3.40-3.79
Ba 0.1250 0.8750 0.7500  8 La 3.40-3.79
Ba 0.7500 0.8750 0.6250  8 La 3.40-3.79
Ba 0.6250 0.2500 0.3750  8 La 3.40-3.79
Ba 0.1250 0.2500 0.8750  8 La 3.40-3.79
Ba 0.2500 0.6250 0.8750  8 La 3.40-3.79
Ca 0.1250 0.3750 0.2500  4 La 3.80
Ca 0.0000 0.5000 0.0000  6 La 3.40
Ca 0.0000 0.0000 0.0000  6 La 3.40
Ca 0.3750 0.2500 0.1250  4 La 3.80
Ca 0.5000 0.0000 0.5000  6 La 3.40
Ca 0.5000 0.5000 0.0000  6 La 3.40
Ca 0.1250 0.7500 0.3750  4 La 3.80
Ca 0.7500 0.1250 0.8750  4 La 3.80
Ca 0.7500 0.6250 0.3750  4 La 3.80
Ca 0.3750 0.1250 0.7500  4 La 3.80
Ca 0.6250 0.8750 0.2500  4 La 3.80
Ca 0.5000 0.5000 0.5000  6 La 3.40
Ca 0.5000 0.0000 0.0000  6 La 3.40
Ca 0.0000 0.0000 0.5000  6 La 3.40
Ca 0.2500 0.3750 0.6250  4 La 3.80
Ca 0.2500 0.8750 0.1250  4 La 3.80
Ca 0.0000 0.5000 0.5000  6 La 3.40
Ca 0.8750 0.2500 0.6250  4 La 3.80
Ca 0.6250 0.7500 0.8750  4 La 3.80
Ca 0.8750 0.6250 0.7500  4 La 3.80
La 0.7275 0.1429 0.0852  2 Ca 3.40-3.80, 2 Ba 3.40-3.79, 3 La 3.51-3.59
La 0.3577 0.5852 0.4423  2 Ca 3.40-3.80, 2 Ba 3.40-3.79, 3 La 3.51-3.59
La 0.9148 0.3571 0.2725  2 Ca 3.40-3.80, 2 Ba 3.40-3.79, 3 La 3.51-3.59
La 0.5852 0.2275 0.1429  2 Ca 3.40-3.80, 2 Ba 3.40-3.79, 3 La 3.51-3.59
La 0.5846 0.7275 0.6423  2 Ca 3.40-3.80, 2 Ba 3.40-3.79, 3 La 3.51-3.59
La 0.9148 0.5577 0.1423  2 Ca 3.40-3.80, 2 Ba 3.40-3.79, 3 La 3.51-3.59
La 0.3577 0.7725 0.4154  2 Ca 3.40-3.80, 2 Ba 3.40-3.79, 3 La 3.51-3.59
La 0.0577 0.9154 0.1429  2 Ca 3.40-3.80, 2 Ba 3.40-3.79, 3 La 3.51-3.59
La 0.5577 0.9148 0.6423  2 Ca 3.40-3.80, 2 Ba 3.40-3.79, 3 La 3.51-3.59
La 0.7275 0.5846 0.1423  2 Ca 3.40-3.80, 2 Ba 3.40-3.79, 3 La 3.51-3.59
La 0.7725 0.4148 0.3571  2 Ca 3.40-3.80, 2 Ba 3.40-3.79, 3 La 3.51-3.59
La 0.8577 0.9423 0.0852  2 Ca 3.40-3.80, 2 Ba 3.40-3.79, 3 La 3.51-3.59
La 0.1429 0.7275 0.5852  2 Ca 3.40-3.80, 2 Ba 3.40-3.79, 3 La 3.51-3.59
La 0.3571 0.4423 0.0846  2 Ca 3.40-3.80, 2 Ba 3.40-3.79, 3 La 3.51-3.59
La 0.0846 0.9423 0.3571  2 Ca 3.40-3.80, 2 Ba 3.40-3.79, 3 La 3.51-3.59
La 0.4154 0.1429 0.5577  2 Ca 3.40-3.80, 2 Ba 3.40-3.79, 3 La 3.51-3.59
La 0.0846 0.1423 0.2275  2 Ca 3.40-3.80, 2 Ba 3.40-3.79, 3 La 3.51-3.59
La 0.4148 0.6423 0.0577  2 Ca 3.40-3.80, 2 Ba 3.40-3.79, 3 La 3.51-3.59
La 0.8577 0.9154 0.2725  2 Ca 3.40-3.80, 2 Ba 3.40-3.79, 3 La 3.51-3.59
La 0.1429 0.4154 0.0577  2 Ca 3.40-3.80, 2 Ba 3.40-3.79, 3 La 3.51-3.59
La 0.3571 0.9148 0.7725  2 Ca 3.40-3.80, 2 Ba 3.40-3.79, 3 La 3.51-3.59
La 0.5577 0.6429 0.4154  2 Ca 3.40-3.80, 2 Ba 3.40-3.79, 3 La 3.51-3.59
La 0.9423 0.8577 0.5852  2 Ca 3.40-3.80, 2 Ba 3.40-3.79, 3 La 3.51-3.59
La 0.7725 0.3577 0.9154  2 Ca 3.40-3.80, 2 Ba 3.40-3.79, 3 La 3.51-3.59
La 0.4423 0.3571 0.5846  2 Ca 3.40-3.80, 2 Ba 3.40-3.79, 3 La 3.51-3.59
La 0.0577 0.1423 0.4148  2 Ca 3.40-3.80, 2 Ba 3.40-3.79, 3 La 3.51-3.59
La 0.2275 0.6423 0.0846  2 Ca 3.40-3.80, 2 Ba 3.40-3.79, 3 La 3.51-3.59
La 0.1423 0.0846 0.7275  2 Ca 3.40-3.80, 2 Ba 3.40-3.79, 3 La 3.51-3.59
La 0.6429 0.0852 0.2275  2 Ca 3.40-3.80, 2 Ba 3.40-3.79, 3 La 3.51-3.59
La 0.8571 0.5846 0.9423  2 Ca 3.40-3.80, 2 Ba 3.40-3.79, 3 La 3.51-3.59
La 0.5852 0.3577 0.9423  2 Ca 3.40-3.80, 2 Ba 3.40-3.79, 3 La 3.51-3.59
La 0.5846 0.8571 0.4423  2 Ca 3.40-3.80, 2 Ba 3.40-3.79, 3 La 3.51-3.59
La 0.9154 0.8577 0.7725  2 Ca 3.40-3.80, 2 Ba 3.40-3.79, 3 La 3.51-3.59
La 0.9154 0.0577 0.6429  2 Ca 3.40-3.80, 2 Ba 3.40-3.79, 3 La 3.51-3.59
La 0.8571 0.2725 0.4148  2 Ca 3.40-3.80, 2 Ba 3.40-3.79, 3 La 3.51-3.59
La 0.1423 0.0577 0.9148  2 Ca 3.40-3.80, 2 Ba 3.40-3.79, 3 La 3.51-3.59
La 0.6429 0.5577 0.9154  2 Ca 3.40-3.80, 2 Ba 3.40-3.79, 3 La 3.51-3.59
La 0.4423 0.0852 0.3577  2 Ca 3.40-3.80, 2 Ba 3.40-3.79, 3 La 3.51-3.59
La 0.2725 0.4154 0.8577  2 Ca 3.40-3.80, 2 Ba 3.40-3.79, 3 La 3.51-3.59
La 0.2275 0.5852 0.6429  2 Ca 3.40-3.80, 2 Ba 3.40-3.79, 3 La 3.51-3.59
La 0.9423 0.0846 0.8571  2 Ca 3.40-3.80, 2 Ba 3.40-3.79, 3 La 3.51-3.59
La 0.6423 0.2275 0.5846  2 Ca 3.40-3.80, 2 Ba 3.40-3.79, 3 La 3.51-3.59
La 0.4148 0.7725 0.8571  2 Ca 3.40-3.80, 2 Ba 3.40-3.79, 3 La 3.51-3.59
La 0.0852 0.4423 0.8577  2 Ca 3.40-3.80, 2 Ba 3.40-3.79, 3 La 3.51-3.59
La 0.4154 0.2725 0.3577  2 Ca 3.40-3.80, 2 Ba 3.40-3.79, 3 La 3.51-3.59
La 0.0852 0.6429 0.7275  2 Ca 3.40-3.80, 2 Ba 3.40-3.79, 3 La 3.51-3.59
La 0.6423 0.4148 0.5577  2 Ca 3.40-3.80, 2 Ba 3.40-3.79, 3 La 3.51-3.59
La 0.2725 0.8571 0.9148  2 Ca 3.40-3.80, 2 Ba 3.40-3.79, 3 La 3.51-3.59

---

Computed, not measured: a geometry-optimized CaEuGdAl structure at the PBE level of DFT.

**Formation energy**: -38 meV per atom

Unit cell a=5.5266 b=5.5266 c=5.5266 alpha=60.00 beta=60.00 gamma=60.00
With the nearest neighbours (Å) after each atom.
Sites, in units of the cell vectors:
Eu 0.0000 0.0000 0.0000  4 Al 3.38, 4 Ca 3.38
Ca 0.2500 0.2500 0.2500  4 Gd 3.38, 4 Eu 3.38
Gd 0.5000 0.5000 0.5000  4 Ca 3.38, 4 Al 3.38
Al 0.7500 0.7500 0.7500  4 Gd 3.38, 4 Eu 3.38

---

Computed, not measured: a geometry-optimized NaSmTeS structure at the PBE level of DFT.

**Raw formation energy**: -1541 meV per atom

Unit cell a=4.2720 b=4.2720 c=7.5913 alpha=73.66 beta=73.66 gamma=60.00
With the nearest neighbours (Å) after each atom.
Sites, in units of the cell vectors:
Na 0.7434 0.7434 0.7699  3 S 3.06, 3 Te 3.19
Sm 0.2603 0.2603 0.2191  3 S 2.84, 3 Te 3.13
Te 0.5040 0.5040 0.4879  3 Sm 3.13, 3 Na 3.19
S 0.9923 0.9923 0.0231  3 Sm 2.84, 3 Na 3.06

---

Volume
In order: 24.646; 27.683; 30.634; 12.064; 33.504; 53.538; 29.839; 28.368
Unit: Å³ per atom
Energy
In order: -57.1; -19.2; -66.9; -18.5; -42.6; -227.4; -30.3; -19.5
Unit: eV/cell